Version 1
Computed, not measured: a relaxed structure of LaDyH2 at the PBE level of DFT.

a = 6.4651 Å, b = 6.4651 Å, c = 6.4651 Å
α = 31.85°, β = 31.85°, γ = 31.85°
Last column: nearest neighbours and their distance in Å.
Element x y z (fractional)
La 0.0000 0.0000 0.0000  6 H 2.63-2.90
Dy 0.1759 0.1759 0.1759  6 H 2.37-2.39
H 0.5767 0.5767 0.5767  3 Dy 2.39, 3 La 2.63
H 0.7782 0.7782 0.7782  3 Dy 2.37

Results
* space group: No. 160
* spin magnetization: 0.0000 μB/atom

=====

Version 2
Computed, not measured: a relaxed structure of LaDyH2 at the PBE level of DFT.

a = 6.2404 Å, b = 6.2404 Å, c = 6.2404 Å
α = 33.37°, β = 33.37°, γ = 33.37°
Last column: nearest neighbours and their distance in Å.
Element x y z (fractional)
La 0.0000 0.0000 0.0000  6 H 2.62
Dy 0.5000 0.5000 0.5000  6 H 2.46
H 0.2420 0.2420 0.2420  3 Dy 2.46, 3 La 2.62
H 0.7580 0.7580 0.7580  3 Dy 2.46, 3 La 2.62

Results
* space group: No. 166
* spin magnetization: 0.0000 μB/atom

=====

Result of the stability comparison: version 1 is the least stable of them.

=====

Version 1
Computed, not measured: a relaxed structure of DyMgH at the PBE level of DFT.

a = 6.3936 Å, b = 6.3936 Å, c = 6.3936 Å
α = 150.99°, β = 150.99°, γ = 41.48°
Last column: nearest neighbours and their distance in Å.
Element x y z (fractional)
Dy 0.0000 0.0000 0.0000  4 H 2.28
Mg 0.2827 0.2827 0.0000  1 H 2.83
H 0.5194 0.5194 0.0000  4 Dy 2.28

Results
* space group: No. 107
* spin magnetization: 0.0953 μB/atom

=====

Version 2
Computed, not measured: a relaxed structure of DyMgH at the PBE level of DFT.

a = 3.5510 Å, b = 3.5510 Å, c = 5.6999 Å
α = 90.00°, β = 90.00°, γ = 120.00°
Last column: nearest neighbours and their distance in Å.
Element x y z (fractional)
Dy 0.0000 0.0000 0.0000  3 H 2.11
Mg 0.3333 0.6667 0.5035  3 H 3.14, 3 Dy 3.49
H 0.6667 0.3333 0.0872  3 Dy 2.11

Results
* space group: No. 156
* spin magnetization: 0.0001 μB/atom

=====

Result of the stability comparison: version 1 is the least stable of them.

=====

Version 1
Computed, not measured: a relaxed structure of Dy2HO at the PBE level of DFT.

a = 5.9822 Å, b = 5.9822 Å, c = 5.9822 Å
α = 33.70°, β = 33.70°, γ = 33.70°
Last column: nearest neighbours and their distance in Å.
Element x y z (fractional)
Dy 0.2464 0.2464 0.2464  3 O 2.41, 3 H 2.48
Dy 0.7536 0.7536 0.7536  3 O 2.41, 3 H 2.48
H 0.0000 0.0000 0.0000  6 Dy 2.48
O 0.5000 0.5000 0.5000  6 Dy 2.41

Results
* space group: No. 166
* spin magnetization: 0.0000 μB/atom

=====

Version 2
Computed, not measured: a relaxed structure of Dy2HO at the PBE level of DFT.

a = 6.2373 Å, b = 6.2373 Å, c = 6.2373 Å
α = 31.91°, β = 31.91°, γ = 31.91°
Last column: nearest neighbours and their distance in Å.
Element x y z (fractional)
Dy 0.0000 0.0000 0.0000  3 H 2.50, 3 O 2.50
Dy 0.1743 0.1743 0.1743  3 H 2.37, 3 O 2.52
H 0.5806 0.5806 0.5806  6 Dy 2.37-2.50
O 0.7528 0.7528 0.7528  6 Dy 2.50-2.52

Results
* space group: No. 160
* spin magnetization: 0.0004 μB/atom

=====

Result of the stability comparison: version 2 is the least stable of them.

=====

Version 1
Computed, not measured: a relaxed structure of Dy2HOs at the PBE level of DFT.

a = 3.2706 Å, b = 3.2706 Å, c = 7.1063 Å
α = 90.00°, β = 90.00°, γ = 90.00°
Last column: nearest neighbours and their distance in Å.
Element x y z (fractional)
Dy 0.0000 0.0000 0.2418  4 Os 2.88, 4 H 2.95
Dy 0.0000 0.0000 0.7582  4 Os 2.88, 4 H 2.95
H 0.5000 0.5000 0.5000  8 Dy 2.95, 4 H 3.27
Os 0.5000 0.5000 0.0000  8 Dy 2.88

Results
* space group: No. 123
* spin magnetization: 0.0000 μB/atom

=====

Version 2
Computed, not measured: a relaxed structure of Dy2HOs at the PBE level of DFT.

a = 6.2866 Å, b = 6.2866 Å, c = 6.2866 Å
α = 36.72°, β = 36.72°, γ = 36.72°
Last column: nearest neighbours and their distance in Å.
Element x y z (fractional)
Dy 0.2461 0.2461 0.2461  3 H 2.68, 3 Os 2.75
Dy 0.7539 0.7539 0.7539  3 H 2.68, 3 Os 2.75
H 0.5000 0.5000 0.5000  6 Dy 2.68
Os 0.0000 0.0000 0.0000  6 Dy 2.75

Results
* space group: No. 166
* spin magnetization: 0.0000 μB/atom

=====

Result of the stability comparison: version 2 is the least stable of them.

=====

Version 1
Computed, not measured: a relaxed structure of Dy3HPb at the PBE level of DFT.

a = 4.8417 Å, b = 4.8417 Å, c = 4.8417 Å
α = 90.00°, β = 90.00°, γ = 90.00°
Last column: nearest neighbours and their distance in Å.
Element x y z (fractional)
Dy 0.0000 0.0000 0.5000  2 H 2.42
Dy 0.0000 0.5000 0.0000  2 H 2.42
Dy 0.5000 0.0000 0.0000  2 H 2.42
H 0.0000 0.0000 0.0000  6 Dy 2.42
Pb 0.5000 0.5000 0.5000  12 Dy 3.42

Results
* space group: No. 221
* spin magnetization: 0.1412 μB/atom

=====

Version 2
Computed, not measured: a relaxed structure of Dy3HPb at the PBE level of DFT.

a = 6.6067 Å, b = 3.5890 Å, c = 10.4494 Å
α = 90.00°, β = 99.11°, γ = 90.00°
Last column: nearest neighbours and their distance in Å.
Element x y z (fractional)
Dy 0.0835 0.2500 0.3657  2 H 2.46
Dy 0.2256 0.2500 0.8985  1 H 2.31
Dy 0.4002 0.7500 0.6352  2 H 2.42
Dy 0.5998 0.2500 0.3648  2 H 2.42
Dy 0.7744 0.7500 0.1015  1 H 2.31
Dy 0.9165 0.7500 0.6343  2 H 2.46
H 0.1731 0.2500 0.6748  5 Dy 2.31-2.46
H 0.8269 0.7500 0.3252  5 Dy 2.31-2.46
Pb 0.2894 0.7500 0.1571  8 Dy 3.22-3.36, 2 Pb 3.59
Pb 0.7106 0.2500 0.8429  8 Dy 3.22-3.36, 2 Pb 3.59

Results
* space group: No. 11
* spin magnetization: 0.0000 μB/atom

=====

Result of the stability comparison: version 2 is the least stable of them.

=====

Version 1
Computed, not measured: a relaxed structure of Dy4HPb2 at the PBE level of DFT.

a = 6.3583 Å, b = 6.5231 Å, c = 9.1795 Å
α = 90.00°, β = 109.26°, γ = 90.00°
Last column: nearest neighbours and their distance in Å.
Element x y z (fractional)
Dy 0.0368 0.0015 0.2996  1 H 2.22
Dy 0.0368 0.4985 0.2996  1 H 2.22
Dy 0.3638 0.7500 0.0535  1 H 2.25
Dy 0.4341 0.7500 0.6537  1 H 2.23
Dy 0.5659 0.2500 0.3463  1 H 2.23
Dy 0.6362 0.2500 0.9465  1 H 2.25
Dy 0.9632 0.5015 0.7004  1 H 2.22
Dy 0.9632 0.9985 0.7004  1 H 2.22
H 0.2092 0.7500 0.7950  4 Dy 2.22-2.25
H 0.7908 0.2500 0.2050  4 Dy 2.22-2.25
Pb 0.1865 0.2500 0.0280  9 Dy 3.12-3.43, 1 H 3.42
Pb 0.3513 0.2500 0.6038  8 Dy 3.07-3.32
Pb 0.6487 0.7500 0.3962  8 Dy 3.07-3.32
Pb 0.8135 0.7500 0.9720  9 Dy 3.12-3.43, 1 H 3.42

Results
* space group: No. 11
* spin magnetization: 0.0001 μB/atom

=====

Version 2
Computed, not measured: a relaxed structure of Dy4HPb2 at the PBE level of DFT.

a = 9.0621 Å, b = 9.0621 Å, c = 9.0621 Å
α = 150.69°, β = 150.69°, γ = 41.93°
Last column: nearest neighbours and their distance in Å.
Element x y z (fractional)
Dy 0.0000 0.5000 0.5000  2 H 2.29
Dy 0.1755 0.1755 0.0000  1 H 2.97, 5 Pb 3.14-3.30
Dy 0.5000 0.0000 0.5000  2 H 2.29
Dy 0.8245 0.8245 0.0000  1 H 2.97, 5 Pb 3.14-3.30
H 0.0000 0.0000 0.0000  4 Dy 2.29
Pb 0.3610 0.3610 0.0000  9 Dy 3.14-3.30
Pb 0.6390 0.6390 0.0000  9 Dy 3.14-3.30

Results
* space group: No. 139
* spin magnetization: 0.0595 μB/atom

=====

Result of the stability comparison: version 2 is the least stable of them.

=====

Version 1
Computed, not measured: a relaxed structure of PrDyH at the PBE level of DFT.

a = 6.6106 Å, b = 6.6106 Å, c = 6.6106 Å
α = 149.62°, β = 149.62°, γ = 43.50°
Last column: nearest neighbours and their distance in Å.
Element x y z (fractional)
Pr 0.0000 0.0000 0.0000  4 H 2.48
Dy 0.2893 0.2893 0.0000  1 H 2.22
H 0.4703 0.4703 0.0000  1 Dy 2.22, 4 Pr 2.48

Results
* space group: No. 107
* spin magnetization: 0.0000 μB/atom

=====

Version 2
Computed, not measured: a relaxed structure of PrDyH at the PBE level of DFT.

a = 3.6899 Å, b = 3.6899 Å, c = 5.8087 Å
α = 90.00°, β = 90.00°, γ = 120.00°
Last column: nearest neighbours and their distance in Å.
Element x y z (fractional)
Pr 0.0000 0.0000 0.0000  3 H 2.62
Dy 0.6667 0.3333 0.5175  3 H 2.49
H 0.3333 0.6667 0.7382  3 Dy 2.49, 3 Pr 2.62

Results
* space group: No. 156
* spin magnetization: 0.0000 μB/atom

=====

Version 3
Computed, not measured: a relaxed structure of PrDyH at the PBE level of DFT.

a = 3.5453 Å, b = 3.5453 Å, c = 12.3532 Å
α = 90.00°, β = 90.00°, γ = 120.00°
Last column: nearest neighbours and their distance in Å.
Element x y z (fractional)
Pr 0.0000 0.0000 0.2382  3 H 2.78
Pr 0.0000 0.0000 0.7618  3 H 2.78
Dy 0.0000 0.0000 0.5000  6 H 2.45
Dy 0.6667 0.3333 0.0000  6 Dy 3.55, 6 Pr 3.58
H 0.6667 0.3333 0.3909  3 Dy 2.45, 1 H 2.70
H 0.6667 0.3333 0.6091  3 Dy 2.45, 1 H 2.70

Results
* space group: No. 187
* spin magnetization: 0.0004 μB/atom

=====

Result of the stability comparison: version 3 is the least stable of them.

=====

Version 1
Computed, not measured: a relaxed structure of Pr2DyH at the PBE level of DFT.

a = 9.1232 Å, b = 9.1232 Å, c = 9.1232 Å
α = 23.42°, β = 23.42°, γ = 23.42°
Last column: nearest neighbours and their distance in Å.
Element x y z (fractional)
Pr 0.2229 0.2229 0.2229  3 H 2.61
Pr 0.7771 0.7771 0.7771  3 H 2.61
Dy 0.0000 0.0000 0.0000  6 Pr 3.63, 6 Dy 3.70
H 0.5000 0.5000 0.5000  6 Pr 2.61

Results
* space group: No. 166
* spin magnetization: 0.0000 μB/atom

=====

Version 2
Computed, not measured: a relaxed structure of Pr2DyH at the PBE level of DFT.

a = 3.4693 Å, b = 3.4693 Å, c = 8.6826 Å
α = 90.00°, β = 90.00°, γ = 90.00°
Last column: nearest neighbours and their distance in Å.
Element x y z (fractional)
Pr 0.0000 0.0000 0.1910  4 H 2.96, 1 Pr 3.32
Pr 0.0000 0.0000 0.8090  4 H 2.96, 1 Pr 3.32
Dy 0.5000 0.5000 0.5000  4 Dy 3.47, 8 Pr 3.64
H 0.5000 0.5000 0.0000  8 Pr 2.96

Results
* space group: No. 123
* spin magnetization: 0.0000 μB/atom

=====

Result of the stability comparison: version 2 is the least stable of them.

=====

Version 1
Computed, not measured: a relaxed structure of DyHPt3 at the PBE level of DFT.

a = 5.3529 Å, b = 5.3529 Å, c = 5.3529 Å
α = 88.99°, β = 88.99°, γ = 88.99°
Last column: nearest neighbours and their distance in Å.
Element x y z (fractional)
Dy 0.0000 0.0000 0.0000  2 H 2.36
Dy 0.5000 0.5000 0.5000  2 H 2.36
H 0.2500 0.2500 0.2500  3 Pt 1.89
H 0.7500 0.7500 0.7500  3 Pt 1.89
Pt 0.0021 0.7500 0.4979  1 H 1.89
Pt 0.2500 0.5021 0.9979  1 H 1.89
Pt 0.4979 0.0021 0.7500  1 H 1.89
Pt 0.5021 0.9979 0.2500  1 H 1.89
Pt 0.7500 0.4979 0.0021  1 H 1.89
Pt 0.9979 0.2500 0.5021  1 H 1.89

Results
* space group: No. 167
* spin magnetization: 0.0000 μB/atom

=====

Version 2
Computed, not measured: a relaxed structure of DyHPt3 at the PBE level of DFT.

a = 4.1957 Å, b = 4.1957 Å, c = 4.1957 Å
α = 90.34°, β = 90.34°, γ = 90.34°
Last column: nearest neighbours and their distance in Å.
Element x y z (fractional)
Dy 0.0000 0.0000 0.0000  1 H 2.42
H 0.6648 0.6648 0.6648  3 Pt 1.80
Pt 0.0170 0.4938 0.4938  1 H 1.80
Pt 0.4938 0.0170 0.4938  1 H 1.80
Pt 0.4938 0.4938 0.0170  1 H 1.80

Results
* space group: No. 160
* spin magnetization: 0.0000 μB/atom

=====

Version 3
Computed, not measured: a relaxed structure of DyHPt3 at the PBE level of DFT.

a = 4.1725 Å, b = 4.1725 Å, c = 4.1725 Å
α = 90.00°, β = 90.00°, γ = 90.00°
Last column: nearest neighbours and their distance in Å.
Element x y z (fractional)
Dy 0.0000 0.0000 0.0000  12 Pt 2.95
H 0.5000 0.5000 0.5000  6 Pt 2.09
Pt 0.0000 0.5000 0.5000  2 H 2.09
Pt 0.5000 0.0000 0.5000  2 H 2.09
Pt 0.5000 0.5000 0.0000  2 H 2.09

Results
* space group: No. 221
* spin magnetization: 0.0000 μB/atom

=====

Result of the stability comparison: version 1 is the least stable of them.

=====

Version 1
Computed, not measured: a relaxed structure of DyPu2H at the PBE level of DFT.

a = 6.6907 Å, b = 6.6907 Å, c = 6.6907 Å
α = 31.99°, β = 31.99°, γ = 31.99°
Last column: nearest neighbours and their distance in Å.
Element x y z (fractional)
Dy 0.0000 0.0000 0.0000  8 Pu 3.38-3.72, 6 Dy 3.69
Pu 0.1955 0.1955 0.1955  3 H 2.20, 3 Pu 2.39
Pu 0.8045 0.8045 0.8045  3 H 2.20, 3 Pu 2.39
H 0.5000 0.5000 0.5000  6 Pu 2.20

Results
* space group: No. 166
* spin magnetization: 0.0616 μB/atom

=====

Version 2
Computed, not measured: a relaxed structure of DyPu2H at the PBE level of DFT.

a = 3.1919 Å, b = 3.1919 Å, c = 8.5354 Å
α = 90.00°, β = 90.00°, γ = 90.00°
Last column: nearest neighbours and their distance in Å.
Element x y z (fractional)
Dy 0.0000 0.0000 0.0000  4 Dy 3.19, 8 Pu 3.57
Pu 0.5000 0.5000 0.3245  4 H 2.71, 1 Pu 3.00
Pu 0.5000 0.5000 0.6755  4 H 2.71, 1 Pu 3.00
H 0.0000 0.0000 0.5000  8 Pu 2.71

Results
* space group: No. 123
* spin magnetization: 2.9512 μB/atom

=====

Result of the stability comparison: version 1 is the least stable of them.

=====

Version 1
Computed, not measured: a relaxed structure of DyH8Rh2 at the PBE level of DFT.

a = 4.3757 Å, b = 4.3757 Å, c = 4.7427 Å
α = 90.00°, β = 90.00°, γ = 90.00°
Last column: nearest neighbours and their distance in Å.
Element x y z (fractional)
Dy 0.0000 0.0000 0.0000  8 H 2.26
H 0.2815 0.2815 0.3038  2 Rh 1.82, 3 H 1.86-1.91
H 0.2815 0.2815 0.6962  2 Rh 1.82, 3 H 1.86-1.91
H 0.2815 0.7185 0.3038  2 Rh 1.82, 3 H 1.86-1.91
H 0.2815 0.7185 0.6962  2 Rh 1.82, 3 H 1.86-1.91
H 0.7185 0.2815 0.3038  2 Rh 1.82, 3 H 1.86-1.91
H 0.7185 0.2815 0.6962  2 Rh 1.82, 3 H 1.86-1.91
H 0.7185 0.7185 0.3038  2 Rh 1.82, 3 H 1.86-1.91
H 0.7185 0.7185 0.6962  2 Rh 1.82, 3 H 1.86-1.91
Rh 0.0000 0.5000 0.5000  8 H 1.82
Rh 0.5000 0.0000 0.5000  8 H 1.82

Results
* space group: No. 123
* spin magnetization: 0.0000 μB/atom

=====

Version 2
Computed, not measured: a relaxed structure of DyH8Rh2 at the PBE level of DFT.

a = 5.4850 Å, b = 5.4850 Å, c = 3.6431 Å
α = 90.00°, β = 90.00°, γ = 119.94°
Last column: nearest neighbours and their distance in Å.
Element x y z (fractional)
Dy 0.0000 0.0000 0.0000  2 H 2.26
H 0.1305 0.3893 0.5000  2 Rh 1.72-1.87
H 0.2382 0.7618 0.0000  2 Rh 1.82
H 0.3893 0.1305 0.5000  2 Rh 1.72-1.87
H 0.5000 0.5000 0.1060  1 H 0.77
H 0.5000 0.5000 0.8940  1 H 0.77
H 0.6107 0.8695 0.5000  2 Rh 1.72-1.87
H 0.7618 0.2382 0.0000  2 Rh 1.82
H 0.8695 0.6107 0.5000  2 Rh 1.72-1.87
Rh 0.2309 0.7691 0.5000  6 H 1.72-1.87
Rh 0.7691 0.2309 0.5000  6 H 1.72-1.87

Results
* space group: No. 65
* spin magnetization: 0.0000 μB/atom

=====

Result of the stability comparison: version 1 is the least stable of them.

=====

Version 1
Computed, not measured: a relaxed structure of DyH6Ru2 at the PBE level of DFT.

a = 4.8847 Å, b = 4.8847 Å, c = 6.3525 Å
α = 121.29°, β = 121.29°, γ = 43.00°
Last column: nearest neighbours and their distance in Å.
Element x y z (fractional)
Dy 0.0000 0.0000 0.0000  6 H 2.13-2.19
H 0.0342 0.0342 0.6952  2 Ru 1.73-1.80
H 0.2804 0.2804 0.3965  3 Ru 1.82-1.97
H 0.3379 0.3379 0.9139  1 Ru 1.68
H 0.6621 0.6621 0.0861  1 Ru 1.68
H 0.7196 0.7196 0.6035  3 Ru 1.82-1.97
H 0.9658 0.9658 0.3048  2 Ru 1.73-1.80
Ru 0.1800 0.1800 0.6020  5 H 1.68-1.82
Ru 0.8200 0.8200 0.3980  5 H 1.68-1.82

Results
* space group: No. 12
* spin magnetization: 0.0000 μB/atom

=====

Version 2
Computed, not measured: a relaxed structure of DyH6Ru2 at the PBE level of DFT.

a = 4.1741 Å, b = 4.1741 Å, c = 4.9598 Å
α = 104.76°, β = 104.76°, γ = 93.34°
Last column: nearest neighbours and their distance in Å.
Element x y z (fractional)
Dy 0.0000 0.0000 0.0000  6 H 2.30-2.31
H 0.1194 0.5096 0.7244  2 Ru 1.77-1.83
H 0.4172 0.4172 0.2996  2 Ru 1.77, 3 H 1.86-1.98
H 0.4904 0.8806 0.2756  2 Ru 1.77-1.83
H 0.5096 0.1194 0.7244  2 Ru 1.77-1.83
H 0.5828 0.5828 0.7004  2 Ru 1.77, 3 H 1.86-1.98
H 0.8806 0.4904 0.2756  2 Ru 1.77-1.83
Ru 0.2522 0.7478 0.5000  6 H 1.77-1.83
Ru 0.7478 0.2522 0.5000  6 H 1.77-1.83

Results
* space group: No. 12
* spin magnetization: 0.0000 μB/atom

=====

Result of the stability comparison: version 1 is the least stable of them.